The following is a SCAN calculation of a crystal of Ti2ReBP relaxed with PBEsol, from Alexandria via LeMat-Bulk.

a = 4.7239 Å, b = 4.7239 Å, c = 3.9572 Å
α = 90.00°, β = 90.00°, γ = 90.00°
With the nearest neighbours (Å) after each atom.
Sites, in units of the cell vectors:
Ti (0.0000, 0.5000, 0.0000)  2 Re 2.36
Ti (0.5000, 0.0000, 0.0000)  2 Re 2.36
Re (0.0000, 0.0000, 0.0000)  2 B 1.98
B (0.0000, 0.0000, 0.5000)  2 Re 1.98
P (0.5000, 0.5000, 0.5000)  8 Ti 3.08, 4 B 3.34

Results
Density of states at the Fermi level = 4.006 states/eV/f.u.
Formation energy from the elements = 16.274 kcal/mol of atoms
Final energy = -23.49 eV per atom
SG = P4/mmm